LaTe3 GGA-PBEsol relaxed; calculated density = 6.93 g cm⁻³; energy relative to the elements, uncorrected = -1.088 eV per atom; D(E_F) = 2.42 states/eV per cell
1.0
4.3666 0.0000 0.0000
0.0000 4.3654 0.0000
0.0000 2.1827 13.1235
Te La
6 2
Cartesian
1.0916 4.3654 1.8630
3.2749 2.1827 11.2605
1.0916 4.3654 11.2577
3.2749 2.1827 1.8658
1.0916 2.1827 5.3640
3.2749 4.3654 7.7595
1.0916 2.1827 8.6835
3.2749 4.3654 4.4400

=====

LaTe2 GGA-PBEsol relaxed; calculated density = 7.12 g cm⁻³; energy relative to the elements, uncorrected = -1.418 eV per atom; D(E_F) = 0.90 states/eV per cell
1.0
4.4939 0.0000 0.0000
0.0000 4.4939 0.0000
0.0000 0.0000 9.1019
Te La
4 2
Cartesian
0.0000 2.2469 3.3260
2.2469 0.0000 5.7759
2.2469 2.2469 0.0000
0.0000 0.0000 0.0000
0.0000 2.2469 6.6156
2.2469 0.0000 2.4862

=====

LaTe2 GGA-PBEsol relaxed; calculated density = 6.64 g cm⁻³; energy relative to the elements, uncorrected = -1.322 eV per atom; D(E_F) = 3.74 states/eV per cell
1.0
-1.9908 -3.9002 -0.2606
0.4685 0.1665 -6.0704
7.3122 -1.5047 3.5789
Te La
4 2
Cartesian
6.6686 -3.3298 -1.1098
2.9324 -1.3054 -2.8649
-0.8786 -1.9086 -1.6423
2.8575 -3.9330 0.1128
3.9587 -4.2960 -2.8677
1.8312 -0.9424 0.1156

=====

La4Te GGA-PBEsol relaxed; calculated density = 6.70 g cm⁻³; energy relative to the elements, uncorrected = -0.146 eV per atom; D(E_F) = 8.98 states/eV per cell
1.0
-2.1964 0.7586 3.4438
2.9947 -1.7410 2.2935
3.9973 9.2157 -1.9864
La Te
4 1
Cartesian
1.1000 4.7415 2.1630
3.6956 3.4917 1.5879
1.1623 1.0233 3.0218
3.6333 7.2100 0.7291
0.0000 0.0000 0.0000

=====

LaTe3 GGA-PBEsol relaxed; calculated density = 7.33 g cm⁻³; energy relative to the elements, uncorrected = -0.640 eV per atom; D(E_F) = 4.38 states/eV per cell
1.0
5.3841 0.0000 0.0000
2.6921 4.6628 0.0000
2.6921 1.5543 4.7107
La Te
1 3
Cartesian
0.0000 0.0000 0.0000
8.0762 4.6628 3.3250
5.3841 3.1085 2.3554
2.6921 1.5543 1.3857

=====

La5Te4 GGA-PBEsol relaxed; calculated density = 7.49 g cm⁻³; energy relative to the elements, uncorrected = -1.374 eV per atom; D(E_F) = 12.40 states/eV per cell
1.0
6.7846 0.0000 0.0000
0.0000 9.5353 0.0000
0.0000 -4.7677 8.2578
La Te
10 8
Cartesian
5.0885 -3.4541 5.9826
5.0885 6.9081 0.0000
5.0885 1.3136 2.2752
1.6962 -1.3136 2.2752
1.6962 2.6272 0.0000
1.6962 3.4541 5.9826
0.0000 0.0000 5.5052
3.3923 4.7677 2.7526
0.0000 4.7677 2.7526
3.3923 0.0000 5.5052
0.0000 0.0000 0.0000
3.3923 0.0000 0.0000
5.0885 -1.8361 3.1802
5.0885 3.6722 0.0000
5.0885 2.9316 5.0776
1.6962 -2.9316 5.0776
1.6962 5.8631 0.0000
1.6962 1.8361 3.1802

=====

| no. | size of the total moment (μB/f.u.) | V (Å³ per cell) |
| --- | --- | --- |
| 1 | 0.00 | 250 |
| 2 | 0.00 | 184 |
| 3 | 0.00 | 197 |
| 4 | 0.01 | 169 |
| 5 | 0.00 | 118 |
| 6 | 0.00 | 534 |